(1)
Compound: Sr2Se2O
Source: the Alexandria database
Functional: SCAN
Structure: single point on PBEsol structure

Summary:
**Space-group type**: I4/mmm (139)
**Raw formation energy**: -1362 meV/atom

extended XYZ file:
```
5
Lattice="5.631 0.024 0.035 -2.728 4.926 -0.035 -2.728 -1.726 4.613" Properties=species:S:1:pos:R:3 pbc="T T T"
Sr 0.087 -0.051 3.469
Sr 0.087 3.275 1.145
Se -1.817 1.066 1.525
Se -3.639 2.134 3.054
O 0.000 0.000 0.000
```

(2)
Compound: SrSe2O5
Source: the Alexandria database
Functional: SCAN
Structure: single point on PBEsol structure

Summary:
**Space-group type**: P-1 (2)
**Raw formation energy**: -1639 meV/atom

extended XYZ file:
```
32
Lattice="6.896 0.007 -0.008 1.236 6.806 -0.003 1.635 0.688 10.737" Properties=species:S:1:pos:R:3 pbc="T T T"
Se 3.146 6.258 8.426
Se 6.557 1.730 10.270
Se 4.502 5.934 4.071
Se 2.124 2.235 6.073
Se 5.265 1.567 6.656
Se 3.210 5.771 0.456
Se 7.643 5.266 4.654
Se 6.620 1.243 2.300
O 3.482 1.068 6.672
O 3.508 1.526 0.304
O 4.267 5.032 8.212
O 5.326 2.460 8.112
O 2.611 0.610 3.666
O 7.156 6.891 7.060
O 0.920 2.040 1.399
O 5.500 2.470 2.514
O 7.459 3.161 10.141
O 6.783 4.180 5.596
O 4.441 5.041 2.614
O 5.807 0.212 1.021
O 6.284 6.433 4.054
O 6.259 5.975 10.422
O 1.816 3.006 7.540
O 2.308 4.340 0.585
O 3.960 7.289 9.705
O 7.951 4.495 3.186
O 2.984 3.321 5.130
O 8.846 5.461 9.327
Sr 6.531 4.428 1.139
Sr 6.720 4.668 8.137
Sr 3.047 2.833 2.590
Sr 3.236 3.073 9.588
```

(3)
Compound: SrSe2O
Source: the Alexandria database
Functional: SCAN
Structure: single point on PBEsol structure

Summary:
**Space-group type**: R-3m (166)
**Raw formation energy**: 644 meV/atom

extended XYZ file:
```
4
Lattice="-0.117 -1.247 3.144 -1.870 -2.741 0.665 6.181 -6.425 -0.496" Properties=species:S:1:pos:R:3 pbc="T T T"
Sr 0.000 0.000 0.000
Se 0.293 -5.685 3.221
Se 3.901 -4.728 0.092
O 2.097 -5.206 1.657
```

(4)
Compound: SrTcSeO2
Source: the Alexandria database
Functional: SCAN
Structure: single point on PBEsol structure

Summary:
**Space-group type**: P4/mmm (123)
**Raw formation energy**: -69 meV/atom

extended XYZ file:
```
5
Lattice="-1.068 -3.558 2.175 2.688 1.129 3.168 -3.386 2.276 2.062" Properties=species:S:1:pos:R:3 pbc="T T T"
O 1.344 0.565 1.584
O -0.534 -1.779 1.088
Se 0.000 0.000 0.000
Tc -1.693 1.138 1.031
Sr -0.883 -0.076 3.702
```

(5)
Compound: SrUSe2O8
Source: the Alexandria database
Functional: SCAN
Structure: single point on PBEsol structure

Summary:
**Space-group type**: P-1 (2)
**Raw formation energy**: -2184 meV/atom

extended XYZ file:
```
24
Lattice="-3.690 2.432 -3.531 4.979 -2.925 -3.550 -7.009 -8.420 2.561" Properties=species:S:1:pos:R:3 pbc="T T T"
Se -4.099 -5.819 -0.347
Se -7.758 -6.271 -0.868
Se -1.621 -3.094 -4.173
Se 2.038 -2.643 -3.652
Sr -1.445 -6.120 -2.399
Sr -4.274 -2.793 -2.122
O 1.357 -2.712 -2.080
O -5.115 -8.279 -1.974
O -3.290 -3.148 -4.394
O -9.478 -6.375 -1.168
O -1.118 -4.683 -4.438
O -1.633 -3.202 -2.366
O -0.605 -0.635 -2.547
O -1.625 -8.505 -1.335
O -4.087 -5.712 -2.155
O -7.076 -6.201 -2.441
O 3.759 -2.539 -3.353
O -2.429 -5.765 -0.126
O -2.811 -1.379 -0.540
O -4.601 -4.230 -0.082
O -2.909 -7.534 -3.981
O -4.095 -0.409 -3.186
U -5.243 -7.196 -3.421
U -0.476 -1.717 -1.100
```

(6)
Compound: SrZnSe2O6
Source: the Alexandria database
Functional: SCAN
Structure: single point on PBEsol structure

Summary:
**Space-group type**: P2_1/c (14)
**Raw formation energy**: -1665 meV/atom

extended XYZ file:
```
40
Lattice="-2.519 -3.248 1.601 4.401 1.477 8.057 -10.481 10.045 3.884" Properties=species:S:1:pos:R:3 pbc="T T T"
Se -5.276 7.221 7.566
Se -4.007 3.646 8.944
Se -9.865 5.941 4.757
Se -10.148 9.515 6.042
Se 1.266 2.334 8.785
Se -4.592 4.629 4.598
Se -3.323 1.053 5.976
Se 1.549 -1.240 7.500
O -6.281 2.797 5.655
O -8.013 7.395 10.918
O 0.266 3.769 8.940
O -8.865 4.505 4.602
O 0.360 1.480 7.654
O -4.551 0.509 4.965
O -0.586 0.880 2.624
O -7.626 5.045 7.802
O -5.076 3.945 3.098
O -7.785 9.918 10.723
O -8.957 9.521 7.280
O -2.318 5.477 7.887
O -4.048 7.765 8.578
O -3.523 4.330 10.444
O -8.959 6.794 5.888
O -0.814 -1.643 2.820
O -3.647 0.114 2.221
O -0.973 3.230 5.740
O -2.549 2.778 8.529
O -6.050 5.497 5.013
O -1.956 0.220 5.254
O -4.952 8.161 11.321
O 0.358 -1.246 6.262
O -6.643 8.054 8.288
Sr -9.088 7.130 8.345
Sr 0.489 1.145 5.197
Sr -2.852 6.832 10.544
Sr -5.746 1.442 2.998
Zn -6.202 8.883 10.036
Zn -1.148 3.874 7.554
Zn -7.451 4.400 5.988
Zn -2.397 -0.608 3.506
```

(7)
Compound: Ta2SeO
Source: the Alexandria database
Functional: SCAN
Structure: single point on PBEsol structure

Summary:
**Space-group type**: I-42d (122)
**Raw formation energy**: -615 meV/atom

extended XYZ file:
```
8
Lattice="-1.289 -2.645 -3.579 -0.982 -3.465 2.915 -4.875 5.229 0.890" Properties=species:S:1:pos:R:3 pbc="T T T"
Ta -2.683 -2.965 1.095
Ta -4.032 2.833 0.858
Ta -2.594 -2.059 -1.480
Ta -4.983 0.428 -0.021
Se 0.000 0.000 0.000
Se -3.496 -0.646 1.737
O -1.136 -3.055 -0.332
O -3.650 -0.236 -1.510
```

(8)
Compound: Tb2Se2O7
Source: the Alexandria database
Functional: SCAN
Structure: single point on PBEsol structure

Summary:
**Space-group type**: P4_2/ncm (138)
**Raw formation energy**: -2394 meV/atom

extended XYZ file:
```
44
Lattice="-1.913 2.223 4.295 2.050 -8.790 5.463 9.594 3.703 2.357" Properties=species:S:1:pos:R:3 pbc="T T T"
O 9.100 -2.891 5.920
O 9.218 1.539 4.057
O 2.876 -3.899 9.225
O 3.554 -6.425 7.310
O 7.446 -3.443 10.648
O 3.362 -3.797 4.210
O 7.411 -3.629 7.956
O 0.000 0.000 0.000
O 4.944 -4.124 6.738
O 2.319 -1.935 2.405
O 7.379 1.498 6.031
O 2.547 0.502 3.652
O 5.822 -2.544 3.910
O 5.168 2.995 6.678
O -0.956 1.111 2.147
O 7.829 -0.763 4.629
O 1.973 -6.099 4.783
O 0.828 2.273 4.742
O 2.127 -4.101 6.590
O 5.242 0.732 4.357
O 7.153 -0.854 7.524
O 9.298 -1.791 8.964
O 6.632 3.033 3.785
O -0.020 -0.546 4.170
O 2.973 1.336 6.182
O 4.866 -1.432 6.057
O 5.301 -2.506 9.207
O 2.125 -1.483 5.610
Se 8.204 -0.459 8.838
Se 8.663 0.558 5.368
Se 2.517 1.927 4.623
Se 1.889 -4.376 4.905
Se 5.797 1.712 3.046
Se 5.028 -5.846 6.615
Se 6.395 -3.838 9.333
Se 0.436 -1.136 5.729
Tb 3.922 -1.367 4.029
Tb 9.745 -3.911 7.938
Tb 3.467 -2.402 7.510
Tb 5.309 0.649 6.752
Tb 1.537 -5.598 8.305
Tb 7.239 3.844 5.957
Tb 6.766 -2.609 5.938
Tb 0.944 -0.066 2.029
```

(9)
Compound: TeSeO4
Source: the Alexandria database
Functional: SCAN
Structure: single point on PBEsol structure

Summary:
**Space-group type**: Cc (9)
**Raw formation energy**: -952 meV/atom

extended XYZ file:
```
12
Lattice="-0.208 4.120 -1.224 -6.759 -0.237 0.373 3.753 -0.138 6.449" Properties=species:S:1:pos:R:3 pbc="T T T"
Te -3.224 2.304 4.567
Te 0.006 1.422 1.037
O -1.102 2.349 4.508
O 0.003 3.310 2.242
O -3.372 3.221 2.529
O -3.073 0.105 6.033
O -0.119 2.896 -0.213
O -2.105 1.288 1.136
O 1.427 2.427 4.357
O -4.635 1.202 1.261
Se 0.098 3.480 3.936
Se -3.421 2.432 1.019
```

(10)
Compound: Te3SeO
Source: the Alexandria database
Functional: SCAN
Structure: single point on PBEsol structure

Summary:
**Space-group type**: Pm-3m (221)
**Raw formation energy**: 1084 meV/atom
**Distance to the lowest polymorph of the same formula**: 3.03 eV per formula unit

extended XYZ file:
```
5
Lattice="-0.016 -0.558 5.352 4.881 -2.253 -0.220 2.264 4.854 0.513" Properties=species:S:1:pos:R:3 pbc="T T T"
Te 1.132 2.427 0.256
Te -0.008 -0.279 2.676
Te 2.441 -1.127 -0.110
Se 0.000 0.000 0.000
O 3.564 1.022 2.822
```

(11)
Compound: TeSe3O
Source: the Alexandria database
Functional: SCAN
Structure: single point on PBEsol structure

Summary:
**Space-group type**: Pm-3m (221)
**Raw formation energy**: 1109 meV/atom

extended XYZ file:
```
5
Lattice="-1.139 -3.058 4.158 0.901 -4.310 -2.923 5.082 0.079 1.450" Properties=species:S:1:pos:R:3 pbc="T T T"
Se 0.450 -2.155 -1.462
Se -0.569 -1.529 2.079
Se 2.541 0.039 0.725
Te 0.000 0.000 0.000
O 2.422 -3.645 1.342
```

(12)
Compound: Te3SeO
Source: the Alexandria database
Functional: SCAN
Structure: single point on PBEsol structure

Summary:
**Space-group type**: Pm-3m (221)
**Raw formation energy**: 478 meV/atom
**Distance to the lowest polymorph of the same formula**: 0.00 eV per formula unit

extended XYZ file:
```
5
Lattice="4.797 0.000 0.000 0.000 4.797 0.000 0.000 0.000 4.797" Properties=species:S:1:pos:R:3 pbc="T T T"
Te 0.000 0.000 2.398
Te 0.000 2.398 0.000
Te 2.398 0.000 0.000
O 0.000 0.000 0.000
Se 2.398 2.398 2.398
```

(13)
Compound: TiSe3O
Source: the Alexandria database
Functional: SCAN
Structure: single point on PBEsol structure

Summary:
**Space-group type**: Pm-3m (221)
**Raw formation energy**: 82 meV/atom

extended XYZ file:
```
5
Lattice="-2.895 1.534 -2.915 -2.268 -3.743 0.282 -2.389 1.693 3.264" Properties=species:S:1:pos:R:3 pbc="T T T"
Se -1.447 0.767 -1.457
Se -1.134 -1.871 0.141
Se -1.195 0.847 1.632
Ti -3.776 -0.258 0.315
O 0.000 0.000 0.000
```

(14)
Compound: Tl2Se3O12
Source: the Alexandria database
Functional: SCAN
Structure: single point on PBEsol structure

Summary:
**Space-group type**: P2_1/c (14)
**Raw formation energy**: -675 meV/atom

extended XYZ file:
```
68
Lattice="-6.821 -4.770 3.128 -1.027 -4.078 -8.458 8.319 -8.700 3.184" Properties=species:S:1:pos:R:3 pbc="T T T"
Tl -1.770 -6.105 -7.081
Tl 5.154 -11.053 -0.961
Tl 2.241 -11.443 4.935
Tl -0.569 -11.040 -0.192
Tl -4.683 -6.495 -1.185
Tl 3.324 -6.721 2.448
Tl 1.039 -6.507 -1.953
Tl -2.854 -10.827 -4.594
O 3.434 -9.000 -5.385
O -0.440 -6.843 2.090
O 3.039 -8.780 1.692
O 4.035 -11.947 -5.091
O -2.569 -8.768 -3.838
O -0.588 -4.194 1.992
O -2.497 -12.105 -0.351
O -0.137 -5.575 -5.615
O 1.687 -7.744 -3.722
O 2.242 -13.438 1.890
O -1.837 -2.558 -0.520
O -0.609 -15.051 -2.321
O 4.334 -11.591 1.030
O -3.864 -5.956 -3.176
O -3.058 -8.089 -1.192
O 2.307 -14.990 -1.626
O 1.079 -2.497 0.175
O -6.392 -7.677 -2.060
O 6.451 -12.556 -3.984
O -0.858 -9.553 -1.860
O -3.565 -5.601 2.945
O -3.523 -6.469 -5.787
O 1.821 -5.405 1.427
O -3.862 -11.062 -2.527
O -0.333 -12.889 1.082
O 3.528 -9.459 -0.954
O 6.862 -9.871 -0.086
O -5.981 -4.992 1.838
O 0.803 -4.658 -3.227
O -1.217 -9.804 1.576
O -1.350 -12.143 -3.573
O -4.622 -7.174 0.918
O 0.691 -11.994 -1.805
O 0.910 -10.704 -4.236
O -1.019 -6.972 -2.688
O 2.968 -5.443 -1.795
O 3.993 -11.078 3.641
O 0.607 -11.973 3.470
O -3.319 -4.844 -0.317
O 3.789 -12.704 -1.829
O 5.092 -10.373 -3.064
O 1.489 -10.576 0.542
O 1.328 -7.994 -0.286
O -0.221 -5.554 -0.341
O -2.964 -8.548 3.239
O 4.332 -6.486 0.382
O -1.772 -4.110 -4.036
O 1.058 -13.354 -4.138
Se 3.847 -14.340 -1.513
Se 3.108 -7.568 -4.592
Se 2.372 -9.199 0.217
Se -4.947 -6.235 2.262
Se 0.656 -13.229 2.372
Se -3.377 -3.208 -0.633
Se 0.312 -12.050 -3.429
Se 5.417 -11.313 -4.408
Se -0.186 -4.319 -4.518
Se -2.637 -9.980 2.446
Se -1.901 -8.349 -2.363
Se 0.158 -5.497 1.283
```

(15)
Compound: Tl2SeO4
Source: the Alexandria database
Functional: SCAN
Structure: single point on PBEsol structure

Summary:
**Space-group type**: Pnma (62)
**Raw formation energy**: -912 meV/atom
**Distance to the lowest polymorph of the same formula**: 0.02 eV per formula unit

extended XYZ file:
```
28
Lattice="-0.309 3.192 -4.832 5.392 -4.595 -3.381 -8.224 -6.754 -3.936" Properties=species:S:1:pos:R:3 pbc="T T T"
O -2.965 -1.806 -2.744
O -6.640 -3.635 -8.858
O -1.712 -4.100 -9.480
O 3.499 -4.522 -3.291
O -0.176 -6.351 -9.405
O -1.429 -4.057 -2.669
O 3.352 -2.999 -5.596
O -6.493 -5.158 -6.553
O -4.814 -5.648 -8.644
O -3.660 -4.070 -4.195
O -1.565 -5.623 -7.175
O 0.693 0.567 -4.890
O 1.672 -2.509 -3.505
O -1.576 -2.535 -4.974
O -3.834 -8.724 -7.258
O 0.519 -4.088 -7.954
Tl 0.144 -0.655 -2.182
Tl -2.264 0.386 -4.821
Tl -3.931 -6.540 -5.809
Tl -3.380 -3.068 -7.032
Tl 0.239 -5.089 -5.117
Tl 0.790 -1.617 -6.340
Tl -3.285 -7.502 -9.967
Tl -0.877 -8.543 -7.328
Se -2.411 -3.100 -3.634
Se 3.209 -2.997 -3.925
Se -0.730 -5.057 -8.515
Se -6.350 -5.161 -8.224
```

(16)
Compound: Tl3SeO
Source: the Alexandria database
Functional: SCAN
Structure: single point on PBEsol structure

Summary:
**Space-group type**: Pm-3m (221)
**Raw formation energy**: -265 meV/atom

extended XYZ file:
```
5
Lattice="-3.964 2.940 -0.587 -2.312 -2.377 3.702 1.909 3.226 3.264" Properties=species:S:1:pos:R:3 pbc="T T T"
Tl -1.156 -1.188 1.851
Tl 0.955 1.613 1.632
Tl -1.982 1.470 -0.294
Se -2.183 1.895 3.189
O 0.000 0.000 0.000
```

Quick rundown of density, same order as above: 4510, 4290, 5026, 5813, 5236, 4397, 11015, 6744, 4899, 5092, 4279, 7189, 5923, 5326, 7094, 9578 kg/m3
Quick rundown of calculated volume, same order as above: 25.7, 15.7, 21.6, 16.9, 16.2, 15.4, 17.2, 13.2, 15.3, 31.2, 29.5, 22.1, 16.9, 15.4, 18.4, 24.6 A^3/atom
Quick rundown of raw total energy, same order as above: -19.55, -13.34, -16.52, -18.04, -20.17, -13.00, -40.48, -18.51, -14.66, -26.53, -19.63, -27.13, -16.42, -17.13, -28.01, -48.94 eV per atom